Record 1
Crystalline BaNaN at its relaxed geometry, computed with GGA-PBE.

a b c (Å): 4.001 6.572 7.227
angles (deg): 63.30 89.94 89.99
Element x y z (fractional)
1 Ba 0.250 0.187 0.259
2 Ba 0.750 0.813 0.741
3 Na 0.250 0.350 0.627
4 Na 0.750 0.650 0.373
5 N 0.250 0.760 0.533
6 N 0.750 0.240 0.467

Summary:
Symmetry = P-1 (2)



Record 2
Crystalline BaNaNbN3 at its relaxed geometry, computed with GGA-PBE.

a b c (Å): 6.551 6.551 5.759
angles (deg): 94.74 94.74 125.04
Element x y z (fractional)
1 Ba 0.236 0.764 0.750
2 Ba 0.764 0.236 0.250
3 Na 0.071 0.929 0.250
4 Na 0.929 0.071 0.750
5 Nb 0.452 0.548 0.250
6 Nb 0.548 0.452 0.750
7 N 0.242 0.330 0.508
8 N 0.283 0.717 0.250
9 N 0.330 0.242 0.008
10 N 0.670 0.758 0.992
11 N 0.717 0.283 0.750
12 N 0.758 0.670 0.492

Summary:
Symmetry = C2/c (15)



Record 3
Crystalline BaNaNb4N8 at its relaxed geometry, computed with GGA-PBE.

a b c (Å): 6.885 6.885 6.885
angles (deg): 55.49 55.49 55.49
Element x y z (fractional)
1 Ba 0.000 0.000 0.000
2 Na 0.631 0.631 0.631
3 Nb 0.118 0.637 0.637
4 Nb 0.253 0.253 0.253
5 Nb 0.637 0.118 0.637
6 Nb 0.637 0.637 0.118
7 N 0.371 0.371 0.888
8 N 0.371 0.888 0.371
9 N 0.400 0.400 0.400
10 N 0.455 0.884 0.884
11 N 0.862 0.862 0.862
12 N 0.884 0.455 0.884
13 N 0.884 0.884 0.455
14 N 0.888 0.371 0.371

Summary:
Symmetry = R3m (160)



Record 4
Crystalline BaNaNp4N8 at its relaxed geometry, computed with GGA-PBE.

a b c (Å): 6.887 6.887 6.887
angles (deg): 60.43 60.43 60.43
Element x y z (fractional)
1 Ba 0.000 0.000 0.000
2 Na 0.384 0.384 0.384
3 Np 0.379 0.379 0.887
4 Np 0.379 0.887 0.379
5 Np 0.767 0.767 0.767
6 Np 0.887 0.379 0.379
7 N 0.140 0.140 0.546
8 N 0.140 0.546 0.140
9 N 0.155 0.155 0.155
10 N 0.166 0.642 0.642
11 N 0.546 0.140 0.140
12 N 0.620 0.620 0.620
13 N 0.642 0.166 0.642
14 N 0.642 0.642 0.166

Summary:
Symmetry = R3m (160)



no.,size of the total moment (μB/cell),final energy (eV per atom),formation energy from raw total energies (meV per atom)
1,0.098,-3.937,-81
2,1.940,-6.952,-571
3,0.000,-8.371,-505
4,7.000,-9.500,-814